ScReNi2: relaxed, PBE.

Cell: 6.092 6.092 6.092 Å, 90.00 90.00 90.00°
Space group F-43m (No. 216)
Asymmetric unit:
Sc1 0.000 0.000 0.000 (multiplicity 4)
Re1 0.250 0.250 0.250 (multiplicity 4)
Ni1 0.000 0.000 0.500 (multiplicity 4)
Ni2 0.250 0.250 0.750 (multiplicity 4)

Summary:
Formation enthalpy at 0 K (eV per formula unit): 0.6
Total magnetic moment (μB/f.u.): 2.02
Electronic total energy (eV per atom): -7.430
Energy above the lowest structure with this stoichiometry (meV/atom): 292.6